[1]
{
  "formula": "Ho8In2Os",
  "functional": "PBE",
  "state": "optimized geometry",
  "energy_ev_per_atom": -5.101,
  "magmom_total_mub_per_cell": 0.00,
  "e_form_mev_per_atom": -253,
  "crystal_system": "monoclinic",
  "lattice_angstrom": [[8.7866, -2.6651, 0.0000], [8.7866, 2.6651, 0.0000], [-2.6284, 0.0000, 6.4624]],
  "species": ["Ho", "Ho", "Ho", "Ho", "Ho", "Ho", "Ho", "Ho", "In", "In", "Os"],
  "frac_coords": [[0.0122, 0.0122, 0.2798], [0.1964, 0.1964, 0.7618], [0.3557, 0.3557, 0.5724], [0.4016, 0.4016, 0.0863], [0.5984, 0.5984, 0.9137], [0.6443, 0.6443, 0.4276], [0.8036, 0.8036, 0.2382], [0.9878, 0.9878, 0.7202], [0.1807, 0.1807, 0.1950], [0.8193, 0.8193, 0.8050], [0.5000, 0.5000, 0.5000]]
}


[2]
{
  "formula": "Ho6In3Os",
  "functional": "PBE",
  "state": "optimized geometry",
  "energy_ev_per_atom": -5.007,
  "magmom_total_mub_per_cell": 0.00,
  "e_form_mev_per_atom": -316,
  "polymorph_energy_kj_per_mol_atoms": 3.1,
  "crystal_system": "orthorhombic",
  "lattice_angstrom": [[9.0276, 0.0000, 0.0000], [0.0000, 11.6818, 0.0000], [0.0000, 0.0000, 5.1057]],
  "species": ["Ho", "Ho", "Ho", "Ho", "Ho", "Ho", "Ho", "Ho", "Ho", "Ho", "Ho", "Ho", "In", "In", "In", "In", "In", "In", "Os", "Os"],
  "frac_coords": [[0.0191, 0.2358, 0.0000], [0.1521, 0.0798, 0.5000], [0.1989, 0.4103, 0.5000], [0.3011, 0.9103, 0.0000], [0.3479, 0.5798, 0.0000], [0.4809, 0.7358, 0.5000], [0.5191, 0.2642, 0.5000], [0.6521, 0.4202, 0.0000], [0.6989, 0.0897, 0.0000], [0.8011, 0.5897, 0.5000], [0.8479, 0.9202, 0.5000], [0.9809, 0.7642, 0.0000], [0.0000, 0.5000, 0.0000], [0.1479, 0.7117, 0.5000], [0.3521, 0.2117, 0.0000], [0.5000, 0.0000, 0.5000], [0.6479, 0.7883, 0.0000], [0.8521, 0.2883, 0.5000], [0.0000, 0.0000, 0.0000], [0.5000, 0.5000, 0.5000]]
}


[3]
{
  "formula": "Ho3InOs",
  "functional": "PBE",
  "state": "optimized geometry",
  "energy_ev_per_atom": -5.901,
  "magmom_total_mub_per_cell": 0.00,
  "e_form_mev_per_atom": -361,
  "polymorph_energy_kj_per_mol_atoms": 0.0,
  "crystal_system": "orthorhombic",
  "lattice_angstrom": [[0.0000, 4.7816, 8.1250], [3.2649, 0.0000, 8.1250], [3.2649, 4.7816, 0.0000]],
  "species": ["Ho", "Ho", "Ho", "Ho", "Ho", "Ho", "In", "In", "Os", "Os"],
  "frac_coords": [[0.1975, 0.5786, 0.4214], [0.2011, 0.2011, 0.7989], [0.4214, 0.8025, 0.1975], [0.5786, 0.1975, 0.8025], [0.7989, 0.7989, 0.2011], [0.8025, 0.4214, 0.5786], [0.2104, 0.7896, 0.7896], [0.7896, 0.2104, 0.2104], [0.2500, 0.2500, 0.2500], [0.7500, 0.7500, 0.7500]]
}


[4]
{
  "formula": "Ho7In2Os2",
  "functional": "PBE",
  "state": "optimized geometry",
  "energy_ev_per_atom": -5.667,
  "magmom_total_mub_per_cell": 0.00,
  "e_form_mev_per_atom": -214,
  "crystal_system": "orthorhombic",
  "lattice_angstrom": [[4.0884, -5.4096, 0.0000], [4.0884, 5.4096, 0.0000], [0.0000, 0.0000, 7.0586]],
  "species": ["Ho", "Ho", "Ho", "Ho", "Ho", "Ho", "Ho", "In", "In", "Os", "Os"],
  "frac_coords": [[0.0000, 0.0000, 0.0000], [0.0000, 0.5000, 0.2482], [0.0000, 0.5000, 0.7518], [0.5000, 0.0000, 0.2482], [0.5000, 0.0000, 0.7518], [0.5000, 0.5000, 0.2413], [0.5000, 0.5000, 0.7587], [0.1756, 0.1756, 0.5000], [0.8244, 0.8244, 0.5000], [0.2913, 0.7087, 0.0000], [0.7087, 0.2913, 0.0000]]
}


[5]
{
  "formula": "Ho6In2Os",
  "functional": "PBE",
  "state": "optimized geometry",
  "energy_ev_per_atom": -5.246,
  "magmom_total_mub_per_cell": 0.00,
  "e_form_mev_per_atom": -338,
  "crystal_system": "hexagonal",
  "lattice_angstrom": [[8.5187, 0.0000, 0.0000], [-4.2594, 7.3774, 0.0000], [0.0000, 0.0000, 3.9027]],
  "species": ["Ho", "Ho", "Ho", "Ho", "Ho", "Ho", "In", "In", "Os"],
  "frac_coords": [[0.0000, 0.3852, 0.0000], [0.0000, 0.7572, 0.5000], [0.2428, 0.2428, 0.5000], [0.3852, 0.0000, 0.0000], [0.6148, 0.6148, 0.0000], [0.7572, 0.0000, 0.5000], [0.3333, 0.6667, 0.5000], [0.6667, 0.3333, 0.5000], [0.0000, 0.0000, 0.0000]]
}


[6]
{
  "formula": "Ho6InOs",
  "functional": "PBE",
  "state": "optimized geometry",
  "energy_ev_per_atom": -5.158,
  "magmom_total_mub_per_cell": 0.00,
  "e_form_mev_per_atom": 22,
  "polymorph_energy_kj_per_mol_atoms": 11.6,
  "crystal_system": "triclinic",
  "lattice_angstrom": [[6.8543, 0.0000, 0.0000], [-3.4237, 5.9706, 0.0000], [-3.3846, -1.9831, 6.3408]],
  "species": ["Ho", "Ho", "Ho", "Ho", "Ho", "Ho", "In", "Os"],
  "frac_coords": [[0.0454, 0.0823, 0.2557], [0.2922, 0.7099, 0.2550], [0.3233, 0.5352, 0.7451], [0.6767, 0.4648, 0.2549], [0.7078, 0.2901, 0.7450], [0.9546, 0.9177, 0.7443], [0.5000, 0.0000, 0.0000], [0.5000, 0.5000, 0.5000]]
}